A relaxed structure of MgCo2Bi, computed with PBE-GGA.

abc: 4.483 4.483 4.483
angles: 60.00 60.00 60.00
Positions (direct):
Mg (0.000, 0.000, 0.000)
Co (0.250, 0.250, 0.250)
Co (0.500, 0.500, 0.500)
Bi (0.750, 0.750, 0.750)

Calculated values
total moment	2.32	μB per formula unit
space-group type	F-43m
total DFT energy (no corrections)	-4.484	eV per atom
mass density	9.15	g/cm3

***

A relaxed structure of Cs2TbAg2S4, computed with PBE-GGA.

abc: 7.522 7.522 6.362
angles: 90.00 90.00 130.05
Positions (direct):
Cs (0.000, 0.500, 0.227)
Cs (0.500, 0.000, 0.773)
Tb (0.000, 0.000, 0.500)
Ag (0.000, 0.000, 0.000)
Ag (0.500, 0.500, 0.500)
S (0.149, 0.345, 0.747)
S (0.345, 0.149, 0.253)
S (0.655, 0.851, 0.253)
S (0.851, 0.655, 0.747)

Calculated values
total moment	0.97	μB per formula unit
space-group type	C222
total DFT energy (no corrections)	-4.096	eV per atom
mass density	4.63	g/cm3

***

A relaxed structure of Nb4AlFeN2, computed with PBE-GGA.

abc: 3.089 3.089 13.509
angles: 90.00 90.00 120.00
Positions (direct):
Nb (0.000, 0.000, 0.149)
Nb (0.000, 0.000, 0.851)
Nb (0.667, 0.333, 0.334)
Nb (0.667, 0.333, 0.666)
Al (0.000, 0.000, 0.500)
Fe (0.667, 0.333, 0.000)
N (0.333, 0.667, 0.240)
N (0.333, 0.667, 0.760)

Calculated values
total moment	1.46	μB per formula unit
space-group type	P-6m2
total DFT energy (no corrections)	-9.161	eV per atom
mass density	7.18	g/cm3

***

A relaxed structure of PrErNi, computed with PBE-GGA.

abc: 4.810 4.810 4.810
angles: 60.00 60.00 60.00
Positions (direct):
Pr (0.000, 0.000, 0.000)
Er (0.500, 0.500, 0.500)
Ni (0.750, 0.750, 0.750)

Calculated values
total moment	0.00	μB per formula unit
space-group type	F-43m
total DFT energy (no corrections)	-5.070	eV per atom
mass density	7.74	g/cm3
ΔH_f (0 K)	-0.10	eV per atom

***

A relaxed structure of PmAgSO, computed with PBE-GGA.

abc: 6.016 7.286 6.659
angles: 90.00 99.61 90.00
Positions (direct):
Pm (0.106, 0.100, 0.245)
Pm (0.106, 0.400, 0.745)
Pm (0.894, 0.600, 0.255)
Pm (0.894, 0.900, 0.755)
Ag (0.430, 0.701, 0.483)
Ag (0.430, 0.799, 0.983)
Ag (0.570, 0.201, 0.017)
Ag (0.570, 0.299, 0.517)
S (0.342, 0.062, 0.686)
S (0.342, 0.438, 0.186)
S (0.658, 0.562, 0.814)
S (0.658, 0.938, 0.314)
O (0.061, 0.682, 0.574)
O (0.061, 0.818, 0.074)
O (0.939, 0.182, 0.926)
O (0.939, 0.318, 0.426)

Calculated values
total moment	0.00	μB per formula unit
space-group type	P2_1/c
total DFT energy (no corrections)	-5.898	eV per atom
polymorph energy (0 for the lowest one)	203	meV per atom
mass density	6.95	g/cm3

***

A relaxed structure of FeSn2Pb, computed with PBE-GGA.

abc: 5.034 5.034 5.034
angles: 60.00 60.00 60.00
Positions (direct):
Fe (0.000, 0.000, 0.000)
Sn (0.250, 0.250, 0.250)
Sn (0.500, 0.500, 0.500)
Pb (0.750, 0.750, 0.750)

Calculated values
total moment	2.51	μB per formula unit
space-group type	F-43m
total DFT energy (no corrections)	-4.457	eV per atom
mass density	9.21	g/cm3

***

A relaxed structure of BaSmB, computed with PBE-GGA.

abc: 4.908 4.908 4.908
angles: 60.00 60.00 60.00
Positions (direct):
Ba (0.000, 0.000, 0.000)
Sm (0.500, 0.500, 0.500)
B (0.250, 0.250, 0.250)

Calculated values
total moment	0.00	μB per formula unit
space-group type	F-43m
total DFT energy (no corrections)	-3.842	eV per atom
polymorph energy (0 for the lowest one)	0	meV per atom
mass density	5.93	g/cm3

***

A relaxed structure of NdHoTh, computed with PBE-GGA.

abc: 5.448 5.448 5.448
angles: 60.00 60.00 60.00
Positions (direct):
Nd (0.000, 0.000, 0.000)
Ho (0.250, 0.250, 0.250)
Th (0.500, 0.500, 0.500)

Calculated values
total moment	0.01	μB per formula unit
space-group type	F-43m
total DFT energy (no corrections)	-4.808	eV per atom
polymorph energy (0 for the lowest one)	0	meV per atom
mass density	7.86	g/cm3
ΔH_f (0 K)	0.78	eV per atom

***

A relaxed structure of LaNdPBr, computed with PBE-GGA.

abc: 4.157 4.157 14.989
angles: 90.00 90.00 120.00
Positions (direct):
La (0.333, 0.667, 0.395)
La (0.667, 0.333, 0.605)
Nd (0.333, 0.667, 0.099)
Nd (0.667, 0.333, 0.901)
P (0.000, 0.000, 0.000)
P (0.000, 0.000, 0.500)
Br (0.333, 0.667, 0.757)
Br (0.667, 0.333, 0.243)

Calculated values
total moment	0.00	μB per formula unit
space-group type	P-3m1
total DFT energy (no corrections)	-5.754	eV per atom
polymorph energy (0 for the lowest one)	2	meV per atom
mass density	5.83	g/cm3

***

A relaxed structure of TbGdI6, computed with PBE-GGA.

abc: 7.688 7.688 7.653
angles: 99.42 99.42 120.15
Positions (direct):
Tb (0.000, 0.000, 0.000)
Gd (0.668, 0.332, 0.000)
I (0.061, 0.392, 0.248)
I (0.256, 0.238, 0.758)
I (0.412, 0.094, 0.242)
I (0.608, 0.939, 0.752)
I (0.762, 0.744, 0.242)
I (0.906, 0.588, 0.758)

Calculated values
total moment	0.01	μB per formula unit
space-group type	C2
total DFT energy (no corrections)	-3.732	eV per atom
mass density	4.84	g/cm3

***

A relaxed structure of NdAlHg, computed with PBE-GGA.

abc: 6.032 6.032 6.032
angles: 133.97 101.35 96.26
Positions (direct):
Nd (0.000, 0.000, 0.000)
Nd (0.563, 0.063, 0.500)
Al (0.001, 0.695, 0.306)
Al (0.389, 0.695, 0.694)
Hg (0.150, 0.366, 0.784)
Hg (0.583, 0.366, 0.216)

Calculated values
total moment	0.08	μB per formula unit
space-group type	Imm2
total DFT energy (no corrections)	-3.411	eV per atom
mass density	8.50	g/cm3

***

A relaxed structure of Gd2HgCl, computed with PBE-GGA.

abc: 7.440 7.440 7.120
angles: 99.20 99.20 32.04
Positions (direct):
Gd (0.136, 0.136, 0.378)
Gd (0.364, 0.364, 0.121)
Gd (0.636, 0.636, 0.879)
Gd (0.864, 0.864, 0.622)
Hg (0.000, 0.000, 0.000)
Hg (0.500, 0.500, 0.500)
Cl (0.250, 0.250, 0.749)
Cl (0.750, 0.750, 0.251)

Calculated values
total moment	0.02	μB per formula unit
space-group type	C2/m
total DFT energy (no corrections)	-3.708	eV per atom
mass density	8.87	g/cm3

***

A relaxed structure of LaNiGe, computed with PBE-GGA.

abc: 4.518 4.518 4.518
angles: 60.00 60.00 60.00
Positions (direct):
La (0.000, 0.000, 0.000)
Ni (0.750, 0.750, 0.750)
Ge (0.500, 0.500, 0.500)

Calculated values
total moment	0.10	μB per formula unit
space-group type	F-43m
total DFT energy (no corrections)	-5.552	eV per atom
mass density	6.88	g/cm3

***

A relaxed structure of Tb4GaNi2Ge4, computed with PBE-GGA.

abc: 7.983 7.983 6.981
angles: 107.43 107.43 30.89
Positions (direct):
Tb (0.090, 0.090, 0.385)
Tb (0.153, 0.153, 0.941)
Tb (0.847, 0.847, 0.059)
Tb (0.910, 0.910, 0.615)
Ga (0.500, 0.500, 0.000)
Ni (0.284, 0.284, 0.354)
Ni (0.716, 0.716, 0.646)
Ge (0.295, 0.295, 0.725)
Ge (0.436, 0.436, 0.334)
Ge (0.564, 0.564, 0.666)
Ge (0.705, 0.705, 0.275)

Calculated values
total moment	0.01	μB per formula unit
space-group type	C2/m
total DFT energy (no corrections)	-5.438	eV per atom
mass density	8.51	g/cm3

***

A relaxed structure of RbDyAgTe3, computed with PBE-GGA.

abc: 17.169 4.333 11.498
angles: 90.00 90.00 90.00
Positions (direct):
Rb (0.234, 0.250, 0.036)
Rb (0.266, 0.750, 0.536)
Rb (0.734, 0.250, 0.464)
Rb (0.766, 0.750, 0.964)
Dy (0.021, 0.250, 0.339)
Dy (0.479, 0.750, 0.839)
Dy (0.521, 0.250, 0.161)
Dy (0.979, 0.750, 0.661)
Ag (0.014, 0.750, 0.093)
Ag (0.486, 0.250, 0.593)
Ag (0.514, 0.750, 0.407)
Ag (0.986, 0.250, 0.907)
Te (0.091, 0.750, 0.871)
Te (0.097, 0.250, 0.581)
Te (0.135, 0.750, 0.258)
Te (0.365, 0.250, 0.758)
Te (0.403, 0.750, 0.081)
Te (0.409, 0.250, 0.371)
Te (0.591, 0.750, 0.629)
Te (0.597, 0.250, 0.919)
Te (0.635, 0.750, 0.242)
Te (0.865, 0.250, 0.742)
Te (0.903, 0.750, 0.419)
Te (0.909, 0.250, 0.129)

Calculated values
total moment	0.00	μB per formula unit
space-group type	Pnma
total DFT energy (no corrections)	-3.886	eV per atom
mass density	5.74	g/cm3

***

A relaxed structure of LiZrInNi, computed with PBE-GGA.

abc: 4.486 4.486 4.486
angles: 60.00 60.00 60.00
Positions (direct):
Li (0.000, 0.000, 0.000)
Zr (0.750, 0.750, 0.750)
In (0.250, 0.250, 0.250)
Ni (0.500, 0.500, 0.500)

Calculated values
total moment	0.00	μB per formula unit
space-group type	F-43m
total DFT energy (no corrections)	-5.097	eV per atom
polymorph energy (0 for the lowest one)	0	meV per atom
mass density	7.07	g/cm3

***

A relaxed structure of BeTlMo, computed with PBE-GGA.

abc: 4.144 4.144 4.144
angles: 60.00 60.00 60.00
Positions (direct):
Be (0.000, 0.000, 0.000)
Tl (0.250, 0.250, 0.250)
Mo (0.750, 0.750, 0.750)

Calculated values
total moment	1.12	μB per formula unit
space-group type	F-43m
total DFT energy (no corrections)	-4.842	eV per atom
polymorph energy (0 for the lowest one)	0	meV per atom
mass density	10.20	g/cm3

***

A relaxed structure of ErTmAlCo2, computed with PBE-GGA.

abc: 3.822 6.768 6.768
angles: 31.98 90.00 90.00
Positions (direct):
Er (0.000, 0.000, 0.000)
Tm (0.000, 0.729, 0.729)
Al (0.500, 0.364, 0.364)
Co (0.500, 0.166, 0.166)
Co (0.500, 0.564, 0.564)

Calculated values
total moment	0.22	μB per formula unit
space-group type	Amm2
total DFT energy (no corrections)	-5.737	eV per atom
polymorph energy (0 for the lowest one)	94	meV per atom
mass density	8.62	g/cm3

***

A relaxed structure of LiNb2W, computed with PBE-GGA.

abc: 4.531 4.531 4.531
angles: 60.00 60.00 60.00
Positions (direct):
Li (0.000, 0.000, 0.000)
Nb (0.500, 0.500, 0.500)
Nb (0.750, 0.750, 0.750)
W (0.250, 0.250, 0.250)

Calculated values
total moment	0.02	μB per formula unit
space-group type	F-43m
total DFT energy (no corrections)	-8.330	eV per atom
mass density	9.51	g/cm3

***

A relaxed structure of CsUSb, computed with PBE-GGA.

abc: 5.435 5.435 5.435
angles: 60.00 60.00 60.00
Positions (direct):
Cs (0.000, 0.000, 0.000)
U (0.250, 0.250, 0.250)
Sb (0.500, 0.500, 0.500)

Calculated values
total moment	3.94	μB per formula unit
space-group type	F-43m
total DFT energy (no corrections)	-4.632	eV per atom
mass density	7.21	g/cm3

***

A relaxed structure of NdThAg, computed with PBE-GGA.

abc: 5.122 5.122 5.122
angles: 60.00 60.00 60.00
Positions (direct):
Nd (0.000, 0.000, 0.000)
Th (0.500, 0.500, 0.500)
Ag (0.250, 0.250, 0.250)

Calculated values
total moment	0.11	μB per formula unit
space-group type	F-43m
total DFT energy (no corrections)	-4.748	eV per atom
polymorph energy (0 for the lowest one)	0	meV per atom
mass density	8.46	g/cm3
ΔH_f (0 K)	0.25	eV per atom

***

A relaxed structure of YCuS2, computed with PBE-GGA.

abc: 6.377 7.007 6.730
angles: 90.00 97.55 90.00
Positions (direct):
Y (0.194, 0.048, 0.302)
Y (0.194, 0.452, 0.802)
Y (0.806, 0.548, 0.198)
Y (0.806, 0.952, 0.698)
Cu (0.415, 0.657, 0.443)
Cu (0.415, 0.843, 0.943)
Cu (0.585, 0.157, 0.057)
Cu (0.585, 0.343, 0.557)
S (0.074, 0.727, 0.498)
S (0.074, 0.773, 0.998)
S (0.409, 0.115, 0.719)
S (0.409, 0.385, 0.219)
S (0.591, 0.615, 0.781)
S (0.591, 0.885, 0.281)
S (0.926, 0.227, 0.002)
S (0.926, 0.273, 0.502)

Calculated values
total moment	0.00	μB per formula unit
space-group type	P2_1/c
total DFT energy (no corrections)	-5.984	eV per atom
mass density	4.83	g/cm3

***

A relaxed structure of LiOsNO, computed with PBE-GGA.

abc: 3.151 3.151 7.339
angles: 90.00 90.00 90.00
Positions (direct):
Li (0.250, 0.750, 0.000)
Li (0.750, 0.250, 0.000)
Os (0.250, 0.250, 0.316)
Os (0.750, 0.750, 0.684)
N (0.250, 0.250, 0.813)
N (0.750, 0.750, 0.187)
O (0.250, 0.750, 0.500)
O (0.750, 0.250, 0.500)

Calculated values
total moment	0.00	μB per formula unit
space-group type	P4/nmm
total DFT energy (no corrections)	-6.160	eV per atom
polymorph energy (0 for the lowest one)	913	meV per atom
mass density	10.35	g/cm3

***

A relaxed structure of InCuTe2PtSe, computed with PBE-GGA.

abc: 6.538 6.538 11.154
angles: 90.00 90.00 143.78
Positions (direct):
In (0.224, 0.776, 0.750)
In (0.776, 0.224, 0.250)
Cu (0.111, 0.889, 0.250)
Cu (0.889, 0.111, 0.750)
Te (0.139, 0.861, 0.018)
Te (0.139, 0.861, 0.482)
Te (0.861, 0.139, 0.518)
Te (0.861, 0.139, 0.982)
Pt (0.500, 0.500, 0.000)
Pt (0.500, 0.500, 0.500)
Se (0.490, 0.510, 0.250)
Se (0.510, 0.490, 0.750)

Calculated values
total moment	0.00	μB per formula unit
space-group type	Cmcm
total DFT energy (no corrections)	-3.917	eV per atom
mass density	8.34	g/cm3

***

A relaxed structure of PrNiC2, computed with PBE-GGA.

abc: 3.885 3.819 3.819
angles: 73.14 90.00 90.00
Positions (direct):
Pr (0.000, 0.000, 0.000)
Ni (0.500, 0.386, 0.386)
C (0.500, 0.547, 0.847)
C (0.500, 0.847, 0.547)

Calculated values
total moment	0.01	μB per formula unit
space-group type	Amm2
total DFT energy (no corrections)	-7.429	eV per atom
mass density	6.85	g/cm3

***

A relaxed structure of LiLu, computed with PBE-GGA.

abc: 4.144 4.144 4.144
angles: 60.00 60.00 60.00
Positions (direct):
Li (0.000, 0.000, 0.000)
Lu (0.500, 0.500, 0.500)

Calculated values
total moment	0.00	μB per formula unit
space-group type	Fm-3m
total DFT energy (no corrections)	-2.679	eV per atom
polymorph energy (0 for the lowest one)	370	meV per atom
mass density	6.00	g/cm3